VASP calculation (PBE) on a relaxed GdBe2Al crystal.

Output
**E_form**: -33 meV/atom
**Density of states at the Fermi level**: 1.28 states/eV per cell
**Uncorrected energy**: -6.352 eV/atom
**Spin magnetization**: 6.92 μB/f.u.

a b c (Å): 4.4185 4.4185 4.4185
angles (deg): 60.00 60.00 60.00
Closest atoms and distances in Å follow each position.
Fractional positions:
Gd  0.0000  0.0000  0.0000  8 Be 2.71
Be  0.2500  0.2500  0.2500  4 Gd 2.71, 4 Al 2.71
Be  0.7500  0.7500  0.7500  4 Gd 2.71, 4 Al 2.71
Al  0.5000  0.5000  0.5000  8 Be 2.71